Entry 1:
First-principles (GGA-PBE) data for crystalline La2CeNd4 at its relaxed geometry, as listed in Alexandria.

Values from the calculation:
Space group   Cm (8)
Total moment   1.32 Bohr magnetons per cell
DFT formation energy   0.0477 eV per atom
ρ   6.7 g/cm3

Structure (extended XYZ):
```
7
Lattice="-3.3884 0.8604 -1.1595 0.4797 -2.7374 2.4171 -1.9494 13.6367 15.8151" Properties=species:S:1:pos:R:3 pbc="T T T"
La -2.3997 0.7356 1.7087
La -2.9585 4.6742 6.2639
Ce -3.5157 8.5224 10.7476
Nd -1.9552 5.4510 9.7583
Nd -2.5017 9.2348 14.1628
Nd -1.9680 12.6966 15.1717
Nd -0.5814 3.0671 3.9747
```


Entry 2:
First-principles (GGA-PBE) data for crystalline TeP2Pb at its relaxed geometry, as listed in Alexandria.

Values from the calculation:
Uncorrected formation energy   0.1071 eV per atom
Space group   Pm (6)
Total moment   0.00 Bohr magnetons per cell
Distance to the lowest polymorph of the same formula   0.000 eV per atom
ρ   6.5 g/cm3

Structure (extended XYZ):
```
4
Lattice="3.8195 0.0000 0.0000 0.0000 4.8107 0.0044 0.0000 2.4431 5.5477" Properties=species:S:1:pos:R:3 pbc="T T T"
P 0.0000 0.3491 0.4604
Pb 0.0000 3.4392 2.8196
P 1.9097 1.6336 0.8381
Te 1.9097 5.4589 4.2100
```


| no. | DFT total energy (eV/atom) | DOS(E_F) (states/eV per cell) |
| --- | --- | --- |
| 1 | -4.9323 | 13.264 |
| 2 | -4.3103 | 0.993 |